Entry 1:
VASP calculation (GGA-PBE) on a geometry-optimized Na2Tl6In structure.

Lattice parameters (Å, degrees): 4.890 10.327 10.327 90.00 90.00 90.00
Element x y z (fractional)
Tl 0.500 0.854 0.354
Tl 0.000 0.646 0.854
Tl 0.000 0.668 0.520
Tl 0.500 0.520 0.332
Tl 0.000 0.354 0.146
Tl 0.500 0.832 0.020
Tl 0.500 0.146 0.646
Tl 0.000 0.020 0.168
Tl 0.500 0.168 0.980
Tl 0.000 0.980 0.832
Tl 0.000 0.332 0.480
Tl 0.500 0.480 0.668
Na 0.500 0.183 0.317
Na 0.000 0.683 0.183
Na 0.000 0.317 0.817
Na 0.500 0.817 0.683
In 0.000 0.000 0.500
In 0.500 0.500 0.000

Output
Formation enthalpy at 0 K = -0.06 eV per atom
Crystal system = tetragonal

Entry 2:
VASP calculation (GGA-PBE) on a geometry-optimized Na2Tl5In12 structure.

Lattice parameters (Å, degrees): 7.395 10.443 8.181 98.28 90.00 110.74
Element x y z (fractional)
Tl 0.740 0.480 0.450
Tl 0.260 0.520 0.550
Tl 0.000 0.000 0.500
Tl 0.628 0.257 0.998
Tl 0.372 0.743 0.002
In 0.157 0.765 0.378
In 0.392 0.235 0.622
In 0.608 0.765 0.378
In 0.029 0.475 0.171
In 0.113 0.226 0.272
In 0.533 0.066 0.323
In 0.467 0.934 0.677
In 0.971 0.525 0.829
In 0.887 0.774 0.728
In 0.554 0.525 0.829
In 0.446 0.475 0.171
In 0.843 0.235 0.622
Na 0.778 0.000 0.000
Na 0.222 0.000 0.000

Output
Formation enthalpy at 0 K = 0.07 eV per atom
Crystal system = monoclinic

Entry 3:
VASP calculation (GGA-PBE) on a geometry-optimized NaTl12In6 structure.

Lattice parameters (Å, degrees): 8.536 8.536 8.536 102.03 102.03 102.03
Element x y z (fractional)
In 0.836 0.589 0.839
In 0.589 0.839 0.836
In 0.164 0.411 0.161
In 0.411 0.161 0.164
In 0.839 0.836 0.589
In 0.161 0.164 0.411
Na 0.000 0.000 0.000
Tl 0.260 0.001 0.741
Tl 0.189 0.582 0.579
Tl 0.999 0.259 0.740
Tl 0.418 0.421 0.811
Tl 0.579 0.189 0.582
Tl 0.001 0.741 0.260
Tl 0.740 0.999 0.259
Tl 0.259 0.740 0.999
Tl 0.741 0.260 0.001
Tl 0.811 0.418 0.421
Tl 0.582 0.579 0.189
Tl 0.421 0.811 0.418

Output
Formation enthalpy at 0 K = 0.04 eV per atom
Crystal system = trigonal

Entry 4:
VASP calculation (GGA-PBE) on a geometry-optimized NaTl6In2 structure.

Lattice parameters (Å, degrees): 6.467 9.439 9.439 100.68 79.61 79.61
Element x y z (fractional)
Tl 0.972 0.753 0.362
Tl 0.472 0.362 0.753
Tl 0.823 0.558 0.907
Tl 0.677 0.093 0.442
Tl 0.210 0.053 0.255
Tl 0.290 0.745 0.947
Tl 0.790 0.947 0.745
Tl 0.528 0.638 0.247
Tl 0.710 0.255 0.053
Tl 0.323 0.907 0.558
Tl 0.177 0.442 0.093
Tl 0.028 0.247 0.638
Na 0.250 0.097 0.903
Na 0.750 0.903 0.097
In 0.864 0.381 0.364
In 0.136 0.619 0.636
In 0.636 0.636 0.619
In 0.364 0.364 0.381

Output
Formation enthalpy at 0 K = -0.01 eV per atom
Crystal system = monoclinic